Crystalline Cd3FeAu at its relaxed geometry. Source: the Alexandria database, functional PBE.

Cell lengths 5.0169, 5.0169, 5.0169 Å; angles 90.00, 90.00, 90.00 degrees
Each line ends with the local moment (μB).
Element x y z (fractional)
Au 0.5000 0.5000 0.5000  0.05
Cd 0.0000 0.5000 0.0000  -0.01
Cd 0.0000 0.0000 0.5000  -0.01
Cd 0.5000 0.0000 0.0000  -0.03
Fe 0.0000 0.0000 0.0000  2.50

Calculated values
magnetization = 2.55 μB/f.u.
symmetry = Pm-3m, No. 221
DFT total energy = -11.18 eV/f.u.
calculated formation energy = 15.23 kcal/mol of atoms
ΔE to the lowest computed polymorph = 0.0000 eV/atom